SrCaSCl2: relaxed, PBE-GGA.

Computed properties:
E_form (uncorrected) ... -1607 meV per atom
Energy relative to the lowest polymorph listed for this composition ... 345 meV per atom
Space group ... P4/mmm (123)
Total moment ... 0.0 Bohr magnetons per cell

Lattice parameters (Å, degrees): 5.363 5.363 5.778 90.00 90.00 90.00
Fractional coordinates of all 5 atoms:
Ca: 0.500 0.500 0.500
S: 0.000 0.000 0.500
Cl: 0.000 0.500 0.000
Cl: 0.500 0.000 0.000
Sr: 0.000 0.000 0.000